No. 1
# PBE-GGA Ti2NiHRu, optimized geometry
data_Ti2NiHRu
_chemical_formula_sum 'Ti2 Ni1 H1 Ru1'
_cell_length_a 4.071
_cell_length_b 4.071
_cell_length_c 3.598
_cell_angle_alpha 90.00
_cell_angle_beta 90.00
_cell_angle_gamma 90.00
_space_group_name_H-M_alt 'P 4/m m m'
_space_group_IT_number 123
_space_group_name_Hall '-P 4 2'
loop_
_atom_site_label
_atom_site_fract_x
_atom_site_fract_y
_atom_site_fract_z
Ti1 0.000 0.500 0.000
Ni1 0.000 0.000 0.500
H1 0.500 0.500 0.000
Ru1 0.500 0.500 0.500
# distance to the lowest polymorph of the same formula: 0.085 eV per atom
# total magnetic moment: 0.0 μB per formula unit
# uncorrected energy: -7.215 eV per atom



No. 2
# PBE-GGA Li2HoAlH8, optimized geometry
data_Li2HoAlH8
_chemical_formula_sum 'Li2 Ho1 Al1 H8'
_cell_length_a 4.258
_cell_length_b 4.273
_cell_length_c 5.822
_cell_angle_alpha 89.83
_cell_angle_beta 69.53
_cell_angle_gamma 85.76
_space_group_name_H-M_alt 'P -1'
_space_group_IT_number 2
loop_
_space_group_symop_operation_xyz
'x,y,z'
'-x,-y,-z'
loop_
_atom_site_label
_atom_site_fract_x
_atom_site_fract_y
_atom_site_fract_z
Li1 0.130 0.491 0.239
Ho1 0.500 0.000 0.500
Al1 0.000 0.000 0.000
H1 0.088 0.012 0.285
H2 0.241 0.291 0.863
H3 0.278 0.512 0.489
H4 0.354 0.762 0.859
# total magnetic moment: 0.0 μB per formula unit
# uncorrected energy: -3.520 eV per atom



No. 3
# PBE-GGA Ce8Si3SeI4, optimized geometry
data_Ce8Si3SeI4
_chemical_formula_sum 'Ce24 Si9 Se3 I12'
_cell_length_a 8.5851
_cell_length_b 8.5851
_cell_length_c 22.3768
_cell_angle_alpha 90.00
_cell_angle_beta 90.00
_cell_angle_gamma 120.00
_space_group_name_H-M_alt 'R -3 m'
_space_group_IT_number 166
_space_group_name_Hall '-R 3 2"'
loop_
_atom_site_label
_atom_site_fract_x
_atom_site_fract_y
_atom_site_fract_z
Ce1 0.0000 0.0000 0.2351
Ce2 0.0056 0.5028 0.7643
Si1 0.0000 0.5000 0.5000
Se1 0.0000 0.0000 0.5000
I1 0.0000 0.0000 0.0000
I2 0.0000 0.5000 0.0000
# total magnetic moment: 7.6 μB per formula unit
# uncorrected energy: -5.526 eV per atom
# raw formation energy: -937 meV per atom



No. 4
# PBE-GGA Ca2AcIn2Ag2, optimized geometry
data_Ca2AcIn2Ag2
_chemical_formula_sum 'Ca6 Ac3 In6 Ag6'
_cell_length_a 4.9197
_cell_length_b 4.9197
_cell_length_c 29.8741
_cell_angle_alpha 90.00
_cell_angle_beta 90.00
_cell_angle_gamma 120.00
_space_group_name_H-M_alt 'R -3 m'
_space_group_IT_number 166
_space_group_name_Hall '-R 3 2"'
loop_
_atom_site_label
_atom_site_fract_x
_atom_site_fract_y
_atom_site_fract_z
Ca1 0.0000 0.0000 0.1278
Ac1 0.0000 0.0000 0.0000
In1 0.0000 0.0000 0.2569
Ag1 0.0000 0.0000 0.4054
# formation energy: -335 meV per atom
# total magnetic moment: 0.0 μB per formula unit
# uncorrected energy: -3.091 eV per atom



No. 5
# PBE-GGA Ac2PmTmAs4, optimized geometry
data_Ac2PmTmAs4
_chemical_formula_sum 'Ac2 Pm1 Tm1 As4'
_cell_length_a 7.536
_cell_length_b 4.355
_cell_length_c 7.544
_cell_angle_alpha 90.00
_cell_angle_beta 109.44
_cell_angle_gamma 90.00
_space_group_name_H-M_alt 'P 1 2/m 1'
_space_group_IT_number 10
loop_
_space_group_symop_operation_xyz
'x,y,z'
'-x,-y,-z'
'-x,y,-z'
'x,-y,z'
loop_
_atom_site_label
_atom_site_fract_x
_atom_site_fract_y
_atom_site_fract_z
Ac1 0.000 0.000 0.000
Ac2 0.500 0.500 0.000
Pm1 0.000 0.500 0.500
Tm1 0.500 0.000 0.500
As1 0.248 0.000 0.730
As2 0.262 0.500 0.273
# formation energy: -1460 meV per atom
# total magnetic moment: 0.0 μB per formula unit
# uncorrected energy: -5.965 eV per atom



No. 6
# PBE-GGA MgFe2Co2, optimized geometry
data_MgFe2Co2
_chemical_formula_sum 'Mg2 Fe4 Co4'
_cell_length_a 6.972
_cell_length_b 6.972
_cell_length_c 2.666
_cell_angle_alpha 90.00
_cell_angle_beta 90.00
_cell_angle_gamma 90.00
_space_group_name_H-M_alt 'P 4/m b m'
_space_group_IT_number 127
_space_group_name_Hall '-P 4 2ab'
loop_
_atom_site_label
_atom_site_fract_x
_atom_site_fract_y
_atom_site_fract_z
Mg1 0.000 0.000 0.000
Fe1 0.141 0.359 0.000
Co1 0.152 0.652 0.500
# formation energy: 122 meV per atom
# distance to the lowest polymorph of the same formula: 0.026 eV per atom
# total magnetic moment: 8.1 μB per formula unit
# uncorrected energy: -6.424 eV per atom